Entry from Alexandria via LeMat-Bulk: an optimized crystal structure of LaMg2Ru (PBE).

As for the space-group type: Imm2, No. 44. The calculation puts the density of states at the Fermi level at 2.9 states/eV/cell. As for the mass density: 4.80 Mg/m³. The value obtained for the calculated formation energy is -6 meV per atom. For the magnetic moment, the calculation gives 0.0 μB/cell.

Cell lengths 7.171, 7.171, 7.171 Å; angles 153.69, 142.20, 46.64 degrees
Positions (direct):
La1 0.000 0.000 0.000
Mg1 0.314 0.814 0.500
Mg2 0.669 0.669 0.000
Ru1 0.834 0.334 0.500



Entry from Alexandria via LeMat-Bulk: an optimized crystal structure of TmAl11Ru (PBE).

As for the space-group type: C2/m, No. 12. The calculation puts the density of states at the Fermi level at 5.5 states/eV/cell. As for the mass density: 4.29 Mg/m³. The value obtained for the calculated formation energy is -248 meV per atom. For the magnetic moment, the calculation gives 0.0 μB/cell.

Cell lengths 6.827, 6.827, 7.110 Å; angles 97.34, 97.34, 135.33 degrees
Positions (direct):
Tm1 0.000 0.000 0.000
Al1 0.000 0.000 0.500
Al2 0.000 0.500 0.000
Al3 0.014 0.361 0.359
Al4 0.284 0.499 0.777
Al5 0.361 0.014 0.359
Al6 0.499 0.284 0.777
Al7 0.500 0.000 0.000
Al8 0.501 0.716 0.223
Al9 0.639 0.986 0.641
Al10 0.716 0.501 0.223
Al11 0.986 0.639 0.641
Ru1 0.500 0.500 0.500



Entry from Alexandria via LeMat-Bulk: an optimized crystal structure of La4AuN (PBE).

As for the space-group type: Cmcm, No. 63. The calculation puts the density of states at the Fermi level at 12.5 states/eV/cell. As for the mass density: 6.71 Mg/m³. For the magnetic moment, the calculation gives 0.0 μB/cell.

Cell lengths 6.099, 6.099, 10.231 Å; angles 90.00, 90.00, 85.28 degrees
Positions (direct):
La1 0.227 0.773 0.543
La2 0.227 0.773 0.957
La3 0.260 0.335 0.250
La4 0.335 0.260 0.750
La5 0.665 0.740 0.250
La6 0.740 0.665 0.750
La7 0.773 0.227 0.043
La8 0.773 0.227 0.457
Au1 0.136 0.864 0.250
Au2 0.864 0.136 0.750
N1 0.349 0.651 0.750
N2 0.651 0.349 0.250



Entry from Alexandria via LeMat-Bulk: an optimized crystal structure of BaLi2RhCl8 (PBE).

As for the space-group type: P-1, No. 2. The calculation puts the density of states at the Fermi level at 7.4 states/eV/cell. As for the mass density: 2.90 Mg/m³. For the magnetic moment, the calculation gives 1.1 μB/cell.

Cell lengths 5.790, 6.236, 8.925 Å; angles 77.22, 82.21, 80.55 degrees
Positions (direct):
Ba1 0.000 0.000 0.000
Li1 0.311 0.535 0.334
Li2 0.689 0.465 0.666
Rh1 0.000 0.000 0.500
Cl1 0.101 0.238 0.646
Cl2 0.156 0.216 0.268
Cl3 0.356 0.767 0.521
Cl4 0.474 0.715 0.094
Cl5 0.526 0.285 0.906
Cl6 0.644 0.233 0.479
Cl7 0.844 0.784 0.732
Cl8 0.899 0.762 0.354



Entry from Alexandria via LeMat-Bulk: an optimized crystal structure of Li2CdSb (PBE).

As for the space-group type: Fm-3m, No. 225. The calculation puts the density of states at the Fermi level at 1.3 states/eV/cell. As for the mass density: 5.23 Mg/m³. Its polymorph energy (0 for the lowest one) is 0.000 eV per atom. For the magnetic moment, the calculation gives 0.0 μB/cell.

Cell lengths 4.812, 4.812, 4.812 Å; angles 60.00, 60.00, 60.00 degrees
Positions (direct):
Li1 0.250 0.250 0.250
Li2 0.750 0.750 0.750
Cd1 0.000 0.000 0.000
Sb1 0.500 0.500 0.500



Entry from Alexandria via LeMat-Bulk: an optimized crystal structure of CdB (PBE).

As for the space-group type: Pmmn, No. 59. The calculation puts the density of states at the Fermi level at 2.0 states/eV/cell. As for the mass density: 6.67 Mg/m³. The value obtained for the calculated formation energy is 425 meV per atom. Its polymorph energy (0 for the lowest one) is 0.060 eV per atom. For the magnetic moment, the calculation gives 0.0 μB/cell.

Cell lengths 2.986, 10.126, 6.084 Å; angles 90.00, 90.00, 90.00 degrees
Positions (direct):
Cd1 0.250 0.044 0.244
Cd2 0.250 0.456 0.244
Cd3 0.250 0.750 0.492
Cd4 0.750 0.250 0.508
Cd5 0.750 0.544 0.756
Cd6 0.750 0.956 0.756
B1 0.250 0.250 0.943
B2 0.250 0.667 0.076
B3 0.250 0.833 0.076
B4 0.750 0.167 0.924
B5 0.750 0.333 0.924
B6 0.750 0.750 0.057



no.,DFT total energy (eV per atom)
1,-4.3540
2,-4.4726
3,-5.8579
4,-3.6698
5,-2.6202
6,-3.3716